Entry 1:
A plane-wave DFT calculation with PBE was carried out for an optimized crystal structure of BaP2N.

Computed properties:
- Formation energy from raw total energies: 0.1268 eV per atom
- DOS(E_F): 0.797 states/eV/atom

abc: 5.0210 5.0210 13.0942
angles: 90.00 90.00 90.00
Closest atoms and distances in Å follow each position.
Sites, in units of the cell vectors:
Ba  0.0000  0.2500  0.3750  8 P 3.25, 4 N 3.55
Ba  0.0000  0.7500  0.6250  8 P 3.25, 4 N 3.55
Ba  0.5000  0.2500  0.1250  8 P 3.25, 4 N 3.55
Ba  0.5000  0.7500  0.8750  8 P 3.25, 4 N 3.55
P  0.0000  0.0000  0.0000  2 N 2.06
P  0.0000  0.5000  0.0000  2 N 2.06
P  0.2500  0.2500  0.7500  2 N 2.06
P  0.2500  0.7500  0.2500  2 N 2.06
P  0.5000  0.0000  0.5000  2 N 2.06
P  0.5000  0.5000  0.5000  2 N 2.06
P  0.7500  0.2500  0.7500  2 N 2.06
P  0.7500  0.7500  0.2500  2 N 2.06
N  0.0000  0.2500  0.8750  4 P 2.06
N  0.0000  0.7500  0.1250  4 P 2.06
N  0.5000  0.2500  0.6250  4 P 2.06
N  0.5000  0.7500  0.3750  4 P 2.06

---

Entry 2:
A plane-wave DFT calculation with PBE was carried out for an optimized crystal structure of Ba3PN.

Computed properties:
- Formation energy from raw total energies: -0.6652 eV per atom

abc: 5.0914 8.1868 7.9724
angles: 90.00 90.00 90.00
Closest atoms and distances in Å follow each position.
Sites, in units of the cell vectors:
Ba  0.0000  0.0900  0.0000  1 N 2.58
Ba  0.0000  0.4098  0.3935  1 N 2.63
Ba  0.0000  0.5902  0.8935  1 N 2.63
Ba  0.0000  0.9100  0.5000  1 N 2.58
Ba  0.5000  0.2798  0.7088  2 N 2.70
Ba  0.5000  0.7202  0.2088  2 N 2.70
P  0.5000  0.3300  0.1199  6 Ba 3.27-3.42
P  0.5000  0.6700  0.6199  6 Ba 3.27-3.42
N  0.0000  0.1950  0.6380  4 Ba 2.58-2.70
N  0.0000  0.8050  0.1380  4 Ba 2.58-2.70

---

Entry 3:
A plane-wave DFT calculation with PBE was carried out for an optimized crystal structure of Ba8P3N.

Computed properties:
- Formation energy from raw total energies: -0.6746 eV per atom
- DOS(E_F): 0.439 states/eV/atom

abc: 7.9749 7.9749 9.0105
angles: 90.00 90.00 109.00
Closest atoms and distances in Å follow each position.
Sites, in units of the cell vectors:
Ba  0.2080  0.2254  0.2270  1 N 2.87, 2 P 3.15-3.18
Ba  0.2199  0.7801  0.0000  1 N 2.85
Ba  0.2254  0.2080  0.7730  1 N 2.87, 2 P 3.15-3.18
Ba  0.2463  0.7537  0.5000  3 P 3.20-3.26
Ba  0.7537  0.2463  0.5000  3 P 3.20-3.26
Ba  0.7746  0.7920  0.7730  1 N 2.87, 2 P 3.15-3.18
Ba  0.7801  0.2199  0.0000  1 N 2.85
Ba  0.7920  0.7746  0.2270  1 N 2.87, 2 P 3.15-3.18
P  0.0000  0.0000  0.5000  6 Ba 3.18-3.20
P  0.0000  0.5000  0.2446  6 Ba 3.15-3.26
P  0.5000  0.0000  0.7554  6 Ba 3.15-3.26
N  0.0000  0.0000  0.0000  6 Ba 2.85-2.87

---

| no. | total DFT energy (no corrections) (eV/atom) |
| --- | --- |
| 1 | -5.14 |
| 2 | -4.57 |
| 3 | -4.00 |